Crystalline Ba3CuH at its relaxed geometry, computed with PBEsol.

Calculated values
magnetic moment	0.000	μB/f.u.
uncorrected energy	-11.92	eV for the cell shown

Lattice parameters (Å, degrees): 6.114 6.114 6.114 90.00 90.00 90.00
Fractional positions:
Ba: 0.000 0.500 0.000
Ba: 0.500 0.000 0.000
H: 0.500 0.500 0.500
Ba: 0.000 0.000 0.500
Cu: 0.000 0.000 0.000